No. 1
# GaGe5Ir3 (PBE, optimized geometry)
# E_form: -0.204 eV/atom
# Total DFT energy (no corrections): -6.06 eV/atom
data_GaGe5Ir3
_cell_length_a 10.974
_cell_length_b 8.382
_cell_length_c 9.131
_cell_angle_alpha 90.00
_cell_angle_beta 118.53
_cell_angle_gamma 90.00
_space_group_name_H-M_alt 'C 1 2/m 1'
_space_group_IT_number 12
loop_
_space_group_symop_operation_xyz
'x,y,z'
'-x,-y,-z'
'-x,y,-z'
'x,-y,z'
'x+1/2,y+1/2,z'
'-x+1/2,-y+1/2,-z'
'-x+1/2,y+1/2,-z'
'x+1/2,-y+1/2,z'
loop_
_atom_site_label
_atom_site_type_symbol
_atom_site_fract_x
_atom_site_fract_y
_atom_site_fract_z
Ga1 Ga 0.105 0.000 0.311
Ge1 Ge 0.000 0.291 0.000
Ge2 Ge 0.078 0.500 0.358
Ge3 Ge 0.159 0.210 0.668
Ge4 Ge 0.235 0.000 0.032
Ir1 Ir 0.000 0.000 0.000
Ir2 Ir 0.000 0.000 0.500
Ir3 Ir 0.151 0.500 0.659
Ir4 Ir 0.172 0.500 0.166

---

No. 2
# Rb2LiGaI5 (PBE, optimized geometry)
# Total DFT energy (no corrections): -2.67 eV/atom
# Formation energy (no corrections): -1.0438 eV/atom
data_Rb2LiGaI5
_cell_length_a 5.088
_cell_length_b 21.212
_cell_length_c 14.776
_cell_angle_alpha 90.00
_cell_angle_beta 90.00
_cell_angle_gamma 90.00
_space_group_name_H-M_alt 'C m c 21'
_space_group_IT_number 36
loop_
_space_group_symop_operation_xyz
'x,y,z'
'-x,-y,z+1/2'
'-x,y,z'
'x,-y,z+1/2'
'x+1/2,y+1/2,z'
'-x+1/2,-y+1/2,z+1/2'
'-x+1/2,y+1/2,z'
'x+1/2,-y+1/2,z+1/2'
loop_
_atom_site_label
_atom_site_type_symbol
_atom_site_fract_x
_atom_site_fract_y
_atom_site_fract_z
Rb1 Rb 0.000 0.123 0.000
Rb2 Rb 0.000 0.134 0.642
Li1 Li 0.000 0.224 0.379
Ga1 Ga 0.000 0.433 0.750
I1 I 0.000 0.052 0.322
I2 I 0.000 0.302 0.966
I3 I 0.000 0.316 0.672
I4 I 0.000 0.346 0.324
I5 I 0.000 0.497 0.092

---

No. 3
# NiTeAu (PBE, optimized geometry)
# Total DFT energy (no corrections): -4.04 eV/atom
# Formation energy (no corrections): 0.0232 eV/atom
data_NiTeAu
_cell_length_a 11.685
_cell_length_b 3.958
_cell_length_c 4.967
_cell_angle_alpha 90.00
_cell_angle_beta 102.65
_cell_angle_gamma 90.00
_space_group_name_H-M_alt 'C 1 2/m 1'
_space_group_IT_number 12
loop_
_space_group_symop_operation_xyz
'x,y,z'
'-x,-y,-z'
'-x,y,-z'
'x,-y,z'
'x+1/2,y+1/2,z'
'-x+1/2,-y+1/2,-z'
'-x+1/2,y+1/2,-z'
'x+1/2,-y+1/2,z'
loop_
_atom_site_label
_atom_site_type_symbol
_atom_site_fract_x
_atom_site_fract_y
_atom_site_fract_z
Ni1 Ni 0.233 0.000 0.328
Te1 Te 0.144 0.000 0.799
Au1 Au 0.066 0.500 0.273

---

No. 4
# Pm4CdPt (PBE, optimized geometry)
# E_form: -0.445 eV/atom
# Total DFT energy (no corrections): -4.77 eV/atom
# Excess energy over the best structure of this formula in the dataset: 2.62 kcal/mol of atoms
data_Pm4CdPt
_cell_length_a 8.908
_cell_length_b 13.063
_cell_length_c 6.418
_cell_angle_alpha 90.00
_cell_angle_beta 106.96
_cell_angle_gamma 90.00
_space_group_name_H-M_alt 'C 1 2/c 1'
_space_group_IT_number 15
loop_
_space_group_symop_operation_xyz
'x,y,z'
'-x,-y,-z'
'-x,y,-z+1/2'
'x,-y,z+1/2'
'x+1/2,y+1/2,z'
'-x+1/2,-y+1/2,-z'
'-x+1/2,y+1/2,-z+1/2'
'x+1/2,-y+1/2,z+1/2'
loop_
_atom_site_label
_atom_site_type_symbol
_atom_site_fract_x
_atom_site_fract_y
_atom_site_fract_z
Pm1 Pm 0.107 0.176 0.048
Pm2 Pm 0.213 0.415 0.401
Cd1 Cd 0.000 0.380 0.750
Pt1 Pt 0.000 0.002 0.750